Entry from Alexandria: a relaxed structure of Cu2TcSn (PBE-GGA).

a = 3.894 Å, b = 3.894 Å, c = 3.951 Å
α = 90.00°, β = 90.00°, γ = 90.00°
Atoms (fractional coordinates):
Cu (0.000, 0.500, 0.000)
Cu (0.500, 0.000, 0.000)
Tc (0.000, 0.000, 0.500)
Sn (0.500, 0.500, 0.500)

DOS at the Fermi energy: 1.6 states/eV per cell
VASP energy: -5.501 eV per atom

***

Entry from Alexandria: a relaxed structure of CuTcSn3 (PBE-GGA).

a = 5.003 Å, b = 5.003 Å, c = 5.003 Å
α = 90.00°, β = 90.00°, γ = 90.00°
Atoms (fractional coordinates):
Cu (0.000, 0.000, 0.000)
Tc (0.500, 0.500, 0.500)
Sn (0.000, 0.000, 0.500)
Sn (0.000, 0.500, 0.000)
Sn (0.500, 0.000, 0.000)

DOS at the Fermi energy: 4.8 states/eV per cell
VASP energy: -4.373 eV per atom

***

no.,calculated formation energy (eV/atom)
1,0.140
2,0.921